A relaxed WN2F crystal. Source: Alexandria via LeMat-Bulk, functional PBE with a Hubbard U.

Results
SG   No. 225
Final energy   -22.974 eV for the cell shown
Spin magnetization   0.00 Bohr magnetons per cell

a b c (Å): 3.6959 3.6959 3.6959
angles (deg): 60.00 60.00 60.00
Fractional coordinates of all 4 atoms:
F: 0.0000 0.0000 0.0000
W: 0.5000 0.5000 0.5000
N: 0.2500 0.2500 0.2500
N: 0.7500 0.7500 0.7500